1.
! Gd3Pa | the Alexandria database | PBE | optimized geometry; values from VASP
! DOS(E_F): 6.612 states/eV per cell
! Spin magnetization: 6.70 μB per formula unit
! DFT total energy: -50.82 eV for the cell shown
! Crystal system: tetragonal
! Energy of formation from the pure elements: 0.230 eV/atom
! Energy relative to the lowest polymorph listed for this composition: 0 meV/atom
&SYSTEM
  ibrav = 0, nat = 4, ntyp = 2
/
ATOMIC_SPECIES
Gd 157.25 Gd.upf
Pa 231.04 Pa.upf
ATOMIC_POSITIONS angstrom
Gd 1.231 0.466 2.904
Gd -0.788 2.826 1.316
Gd 0.685 3.590 4.357
Pa 2.664 3.289 1.500
CELL_PARAMETERS angstrom
-3.999 2.661 1.268
0.039 -2.059 4.445
2.907 3.588 1.636

---

2.
! Er5Tm3Sn2 | the Alexandria database | PBE | optimized geometry; values from VASP
! DOS(E_F): 22.331 states/eV per cell
! Spin magnetization: 0.00 μB per formula unit
! DFT total energy: -88.41 eV for the cell shown
! Crystal system: orthorhombic
! Energy of formation from the pure elements: 0.003 eV/atom
&SYSTEM
  ibrav = 0, nat = 20, ntyp = 3
/
ATOMIC_SPECIES
Er 167.26 Er.upf
Tm 168.93 Tm.upf
Sn 118.71 Sn.upf
ATOMIC_POSITIONS angstrom
Er 4.678 5.043 3.843
Er 7.797 5.043 3.843
Er 7.797 7.559 5.760
Er 7.797 2.527 1.925
Er 4.678 2.527 1.925
Er 4.678 7.559 5.760
Er 3.119 5.572 0.958
Er 9.356 4.514 6.727
Er 6.237 2.403 5.118
Er 6.237 7.683 2.567
Tm 1.559 0.000 0.000
Tm 4.678 0.000 0.000
Tm 6.237 3.377 8.404
Tm 6.237 6.709 -0.719
Tm 9.356 8.999 1.026
Tm 3.119 1.087 6.659
Sn 3.119 6.994 -1.633
Sn 9.356 3.092 9.318
Sn 6.237 0.282 7.176
Sn 6.237 9.805 0.509
CELL_PARAMETERS angstrom
6.237 0.000 0.000
3.119 9.778 -2.372
3.119 0.308 10.057

---

3.
! PaTiReRh | the Alexandria database | PBE | optimized geometry; values from VASP
! DOS(E_F): 4.191 states/eV per cell
! Spin magnetization: 0.00 μB per formula unit
! DFT total energy: -38.59 eV for the cell shown
! Crystal system: cubic
! Energy of formation from the pure elements: -0.350 eV/atom
&SYSTEM
  ibrav = 0, nat = 4, ntyp = 4
/
ATOMIC_SPECIES
Re 186.21 Re.upf
Pa 231.04 Pa.upf
Rh 102.91 Rh.upf
Ti 47.87 Ti.upf
ATOMIC_POSITIONS angstrom
Re -0.111 -1.018 2.665
Pa 0.000 0.000 0.000
Rh -0.334 -3.055 7.994
Ti -0.222 -2.037 5.329
CELL_PARAMETERS angstrom
-0.220 1.156 4.511
-2.441 -2.640 2.967
2.216 -2.589 3.181